1.
NaTiAl: relaxed, GGA-PBE.

a b c (Å): 3.0253 3.8071 11.4771
angles (deg): 90.00 90.14 90.00
Closest atoms and distances in Å follow each position.
Positions (direct):
Na (0.2464, 0.2500, 0.1300)  2 Na 3.03, 4 Al 3.26
Na (0.7536, 0.7500, 0.8700)  2 Na 3.03, 4 Al 3.26
Ti (0.2493, 0.2500, 0.4334)  5 Al 2.76-2.83, 6 Ti 2.87-3.03
Ti (0.7507, 0.7500, 0.5666)  5 Al 2.76-2.83, 6 Ti 2.87-3.03
Al (0.2518, 0.2500, 0.6804)  5 Ti 2.76-2.83, 2 Al 3.03
Al (0.7482, 0.7500, 0.3196)  5 Ti 2.76-2.83, 2 Al 3.03

Summary:
The value obtained for the polymorph energy (0 for the lowest one) is 0.000 eV/atom. The value obtained for the density of states at the Fermi level is 0.50 states/eV/atom. The formation energy is -0.040 eV/atom. The electronic total energy is -4.36 eV per atom. The value obtained for the size of the total moment is 0.000 μB per cell. As for the crystal system: monoclinic.

***

2.
Ho2MgAl3Pt4: relaxed, GGA-PBE.

a b c (Å): 4.0853 4.0853 11.2164
angles (deg): 90.00 90.00 90.00
Closest atoms and distances in Å follow each position.
Positions (direct):
Ho (0.0000, 0.5000, 0.2469)  8 Pt 3.11-3.44, 4 Al 3.18
Ho (0.5000, 0.0000, 0.7531)  8 Pt 3.11-3.44, 4 Al 3.18
Mg (0.0000, 0.0000, 0.5000)  4 Pt 2.64, 4 Al 2.89
Al (0.0000, 0.5000, 0.8706)  5 Pt 2.48-2.51
Al (0.5000, 0.0000, 0.1294)  5 Pt 2.48-2.51
Al (0.5000, 0.5000, 0.5000)  4 Pt 2.64, 4 Mg 2.89
Pt (0.0000, 0.0000, 0.0000)  4 Al 2.51
Pt (0.0000, 0.5000, 0.6497)  3 Al 2.48-2.64, 2 Mg 2.64
Pt (0.5000, 0.0000, 0.3503)  3 Al 2.48-2.64, 2 Mg 2.64
Pt (0.5000, 0.5000, 0.0000)  4 Al 2.51

Summary:
The value obtained for the density of states at the Fermi level is 0.63 states/eV/atom. The formation energy is -1.045 eV/atom. The electronic total energy is -5.66 eV per atom. The value obtained for the size of the total moment is 0.000 μB per cell. As for the crystal system: tetragonal.

***

3.
PmYErTh: relaxed, GGA-PBE.

a b c (Å): 8.0542 8.0542 8.0542
angles (deg): 90.00 90.00 90.00
Closest atoms and distances in Å follow each position.
Positions (direct):
Pm (0.0000, 0.0000, 0.0000)  4 Th 3.49, 4 Y 3.49
Pm (0.0000, 0.5000, 0.5000)  4 Th 3.49, 4 Y 3.49
Pm (0.5000, 0.0000, 0.5000)  4 Th 3.49, 4 Y 3.49
Pm (0.5000, 0.5000, 0.0000)  4 Th 3.49, 4 Y 3.49
Y (0.2500, 0.2500, 0.2500)  4 Er 3.49, 4 Pm 3.49
Y (0.2500, 0.7500, 0.7500)  4 Er 3.49, 4 Pm 3.49
Y (0.7500, 0.2500, 0.7500)  4 Er 3.49, 4 Pm 3.49
Y (0.7500, 0.7500, 0.2500)  4 Er 3.49, 4 Pm 3.49
Er (0.0000, 0.0000, 0.5000)  4 Th 3.49, 4 Y 3.49
Er (0.0000, 0.5000, 0.0000)  4 Th 3.49, 4 Y 3.49
Er (0.5000, 0.0000, 0.0000)  4 Th 3.49, 4 Y 3.49
Er (0.5000, 0.5000, 0.5000)  4 Th 3.49, 4 Y 3.49
Th (0.2500, 0.2500, 0.7500)  4 Er 3.49, 4 Pm 3.49
Th (0.2500, 0.7500, 0.2500)  4 Er 3.49, 4 Pm 3.49
Th (0.7500, 0.2500, 0.2500)  4 Er 3.49, 4 Pm 3.49
Th (0.7500, 0.7500, 0.7500)  4 Er 3.49, 4 Pm 3.49

Summary:
The value obtained for the polymorph energy (0 for the lowest one) is 0.164 eV/atom. The value obtained for the density of states at the Fermi level is 2.18 states/eV/atom. The formation energy is 0.177 eV/atom. The electronic total energy is -5.62 eV per atom. The value obtained for the size of the total moment is 0.004 μB per cell. As for the crystal system: cubic.

***

4.
NaPmCuAg: relaxed, GGA-PBE.

a b c (Å): 7.1378 7.1378 7.1378
angles (deg): 90.00 90.00 90.00
Closest atoms and distances in Å follow each position.
Positions (direct):
Na (0.0000, 0.0000, 0.0000)  4 Cu 3.09, 4 Ag 3.09
Na (0.0000, 0.5000, 0.5000)  4 Ag 3.09, 4 Cu 3.09
Na (0.5000, 0.0000, 0.5000)  4 Ag 3.09, 4 Cu 3.09
Na (0.5000, 0.5000, 0.0000)  4 Ag 3.09, 4 Cu 3.09
Pm (0.0000, 0.0000, 0.5000)  4 Cu 3.09, 4 Ag 3.09
Pm (0.0000, 0.5000, 0.0000)  4 Cu 3.09, 4 Ag 3.09
Pm (0.5000, 0.0000, 0.0000)  4 Cu 3.09, 4 Ag 3.09
Pm (0.5000, 0.5000, 0.5000)  4 Cu 3.09, 4 Ag 3.09
Cu (0.2500, 0.2500, 0.7500)  4 Na 3.09, 4 Pm 3.09
Cu (0.2500, 0.7500, 0.2500)  4 Na 3.09, 4 Pm 3.09
Cu (0.7500, 0.2500, 0.2500)  4 Na 3.09, 4 Pm 3.09
Cu (0.7500, 0.7500, 0.7500)  4 Pm 3.09, 4 Na 3.09
Ag (0.2500, 0.2500, 0.2500)  4 Na 3.09, 4 Pm 3.09
Ag (0.2500, 0.7500, 0.7500)  4 Na 3.09, 4 Pm 3.09
Ag (0.7500, 0.2500, 0.7500)  4 Na 3.09, 4 Pm 3.09
Ag (0.7500, 0.7500, 0.2500)  4 Na 3.09, 4 Pm 3.09

Summary:
The value obtained for the density of states at the Fermi level is 0.79 states/eV/atom. The formation energy is -0.003 eV/atom. The electronic total energy is -3.26 eV per atom. The value obtained for the size of the total moment is 0.000 μB per cell. As for the crystal system: cubic.

***

5.
NbSbAu: relaxed, GGA-PBE.

a b c (Å): 14.1673 3.0074 5.9158
angles (deg): 90.00 90.00 90.00
Closest atoms and distances in Å follow each position.
Positions (direct):
Nb (0.0000, 0.0000, 0.0000)  6 Au 2.83-2.89, 2 Nb 3.01
Nb (0.0000, 0.5000, 0.5000)  6 Au 2.83-2.89, 2 Nb 3.01
Nb (0.5000, 0.0000, 0.0805)  6 Sb 2.88-2.93, 2 Nb 3.01
Nb (0.5000, 0.5000, 0.5805)  6 Sb 2.88-2.93, 2 Nb 3.01
Sb (0.3421, 0.0000, 0.7751)  3 Nb 2.88-2.93, 2 Sb 3.01, 2 Au 3.09
Sb (0.3421, 0.5000, 0.2751)  3 Nb 2.88-2.93, 2 Sb 3.01, 2 Au 3.09
Sb (0.6579, 0.0000, 0.7751)  3 Nb 2.88-2.93, 2 Sb 3.01, 2 Au 3.09
Sb (0.6579, 0.5000, 0.2751)  3 Nb 2.88-2.93, 2 Sb 3.01, 2 Au 3.09
Au (0.1526, 0.0000, 0.3250)  3 Nb 2.83-2.89, 2 Au 3.01, 2 Sb 3.09
Au (0.1526, 0.5000, 0.8250)  3 Nb 2.83-2.89, 2 Au 3.01, 2 Sb 3.09
Au (0.8474, 0.0000, 0.3250)  3 Nb 2.83-2.89, 2 Au 3.01, 2 Sb 3.09
Au (0.8474, 0.5000, 0.8250)  3 Nb 2.83-2.89, 2 Au 3.01, 2 Sb 3.09

Summary:
The value obtained for the density of states at the Fermi level is 0.73 states/eV/atom. The electronic total energy is -5.74 eV per atom. The value obtained for the size of the total moment is 0.000 μB per cell. As for the crystal system: orthorhombic. The energy relative to the elements, uncorrected comes out at 1.8 kcal/mol of atoms.

***

6.
TbCePuTh: relaxed, GGA-PBE.

a b c (Å): 7.8635 7.8635 7.8635
angles (deg): 90.00 90.00 90.00
Closest atoms and distances in Å follow each position.
Positions (direct):
Tb (0.0000, 0.0000, 0.0000)  4 Pu 3.40, 4 Ce 3.40
Tb (0.0000, 0.5000, 0.5000)  4 Pu 3.40, 4 Ce 3.40
Tb (0.5000, 0.0000, 0.5000)  4 Pu 3.40, 4 Ce 3.40
Tb (0.5000, 0.5000, 0.0000)  4 Pu 3.40, 4 Ce 3.40
Ce (0.2500, 0.2500, 0.2500)  4 Tb 3.40, 4 Th 3.40
Ce (0.2500, 0.7500, 0.7500)  4 Tb 3.40, 4 Th 3.40
Ce (0.7500, 0.2500, 0.7500)  4 Tb 3.40, 4 Th 3.40
Ce (0.7500, 0.7500, 0.2500)  4 Tb 3.40, 4 Th 3.40
Pu (0.2500, 0.2500, 0.7500)  4 Tb 3.40, 4 Th 3.40
Pu (0.2500, 0.7500, 0.2500)  4 Tb 3.40, 4 Th 3.40
Pu (0.7500, 0.2500, 0.2500)  4 Tb 3.40, 4 Th 3.40
Pu (0.7500, 0.7500, 0.7500)  4 Tb 3.40, 4 Th 3.40
Th (0.0000, 0.0000, 0.5000)  4 Ce 3.40, 4 Pu 3.40
Th (0.0000, 0.5000, 0.0000)  4 Ce 3.40, 4 Pu 3.40
Th (0.5000, 0.0000, 0.0000)  4 Ce 3.40, 4 Pu 3.40
Th (0.5000, 0.5000, 0.5000)  4 Ce 3.40, 4 Pu 3.40

Summary:
The value obtained for the density of states at the Fermi level is 3.21 states/eV/atom. The formation energy is 0.253 eV/atom. The electronic total energy is -7.83 eV per atom. The value obtained for the size of the total moment is 36.616 μB per cell. As for the crystal system: cubic.

***

7.
Te2PBr: relaxed, GGA-PBE.

a b c (Å): 11.4393 3.6935 6.8258
angles (deg): 90.00 92.54 90.00
Closest atoms and distances in Å follow each position.
Positions (direct):
Te (0.0000, 0.0000, 0.0000)  2 P 2.72, 2 Br 2.99, 1 Te 2.99
Te (0.1684, 0.0000, 0.3473)  2 P 2.63
Te (0.5000, 0.5000, 0.0000)  2 P 2.72, 2 Br 2.99, 1 Te 2.99
Te (0.6684, 0.5000, 0.3473)  2 P 2.63
P (0.1705, 0.5000, 0.0722)  4 Te 2.63-2.72
P (0.6705, 0.0000, 0.0722)  4 Te 2.63-2.72
Br (0.3903, 0.0000, 0.7011)  2 Te 2.99
Br (0.8904, 0.5000, 0.7011)  2 Te 2.99

Summary:
The value obtained for the polymorph energy (0 for the lowest one) is 0.076 eV/atom. The value obtained for the density of states at the Fermi level is 0.09 states/eV/atom. The electronic total energy is -3.18 eV per atom. The value obtained for the size of the total moment is 0.000 μB per cell. As for the crystal system: monoclinic. The energy relative to the elements, uncorrected comes out at 3.7 kcal/mol of atoms.

***

8.
CaPuIr2: relaxed, GGA-PBE.

a b c (Å): 6.8191 6.8191 6.8191
angles (deg): 90.00 90.00 90.00
Closest atoms and distances in Å follow each position.
Positions (direct):
Ca (0.0000, 0.0000, 0.0000)  8 Ir 2.95
Ca (0.0000, 0.5000, 0.5000)  8 Ir 2.95
Ca (0.5000, 0.0000, 0.5000)  8 Ir 2.95
Ca (0.5000, 0.5000, 0.0000)  8 Ir 2.95
Pu (0.0000, 0.0000, 0.5000)  8 Ir 2.95
Pu (0.0000, 0.5000, 0.0000)  8 Ir 2.95
Pu (0.5000, 0.0000, 0.0000)  8 Ir 2.95
Pu (0.5000, 0.5000, 0.5000)  8 Ir 2.95
Ir (0.2500, 0.2500, 0.2500)  4 Ca 2.95, 4 Pu 2.95
Ir (0.2500, 0.2500, 0.7500)  4 Ca 2.95, 4 Pu 2.95
Ir (0.2500, 0.7500, 0.2500)  4 Ca 2.95, 4 Pu 2.95
Ir (0.2500, 0.7500, 0.7500)  4 Ca 2.95, 4 Pu 2.95
Ir (0.7500, 0.2500, 0.2500)  4 Ca 2.95, 4 Pu 2.95
Ir (0.7500, 0.2500, 0.7500)  4 Ca 2.95, 4 Pu 2.95
Ir (0.7500, 0.7500, 0.2500)  4 Ca 2.95, 4 Pu 2.95
Ir (0.7500, 0.7500, 0.7500)  4 Ca 2.95, 4 Pu 2.95

Summary:
The value obtained for the polymorph energy (0 for the lowest one) is 0.025 eV/atom. The value obtained for the density of states at the Fermi level is 1.70 states/eV/atom. The formation energy is -0.315 eV/atom. The electronic total energy is -8.83 eV per atom. The value obtained for the size of the total moment is 16.489 μB per cell. As for the crystal system: cubic.

***

9.
ErTlRh: relaxed, GGA-PBE.

a b c (Å): 3.6188 3.6188 9.7138
angles (deg): 90.00 90.00 90.00
Closest atoms and distances in Å follow each position.
Positions (direct):
Er (0.0000, 0.0000, 0.0000)  4 Rh 2.91, 5 Tl 3.00-3.16
Er (0.5000, 0.5000, 0.5000)  4 Rh 2.91, 5 Tl 3.00-3.16
Tl (0.0000, 0.0000, 0.6916)  5 Er 3.00-3.16, 5 Rh 3.02-3.26
Tl (0.5000, 0.5000, 0.1916)  5 Er 3.00-3.16, 5 Rh 3.02-3.26
Rh (0.0000, 0.0000, 0.3563)  4 Er 2.91, 5 Tl 3.02-3.26
Rh (0.5000, 0.5000, 0.8563)  4 Er 2.91, 5 Tl 3.02-3.26

Summary:
The value obtained for the density of states at the Fermi level is 0.58 states/eV/atom. The formation energy is -0.455 eV/atom. The electronic total energy is -5.22 eV per atom. The value obtained for the size of the total moment is 0.000 μB per cell. As for the crystal system: tetragonal.

***

10.
Er2Al3Zn: relaxed, GGA-PBE.

a b c (Å): 8.9795 8.5178 5.7082
angles (deg): 75.40 66.63 37.96
Closest atoms and distances in Å follow each position.
Positions (direct):
Er (0.2489, 0.7511, 0.7511)  2 Zn 3.12, 10 Al 3.12-3.16, 1 Er 3.49
Er (0.2500, 0.2500, 0.2500)  8 Al 3.11-3.12, 4 Zn 3.14
Er (0.7500, 0.7500, 0.7500)  8 Al 3.11-3.12, 4 Zn 3.14
Er (0.7511, 0.2489, 0.2489)  2 Zn 3.12, 10 Al 3.12-3.16, 1 Er 3.49
Al (0.1639, 0.6677, 0.3323)  1 Zn 2.58, 2 Al 2.61-2.62
Al (0.3318, 0.3318, 0.6682)  1 Zn 2.57, 2 Al 2.62
Al (0.3323, 0.8361, 0.1639)  1 Zn 2.58, 2 Al 2.61-2.62
Al (0.6677, 0.1639, 0.8361)  1 Zn 2.58, 2 Al 2.61-2.62
Al (0.6682, 0.6682, 0.3318)  1 Zn 2.57, 2 Al 2.62
Al (0.8361, 0.3323, 0.6677)  1 Zn 2.58, 2 Al 2.61-2.62
Zn (0.1665, 0.1665, 0.8335)  3 Al 2.57-2.58
Zn (0.8335, 0.8335, 0.1665)  3 Al 2.57-2.58

Summary:
The value obtained for the density of states at the Fermi level is 0.46 states/eV/atom. The formation energy is -0.470 eV/atom. The electronic total energy is -4.07 eV per atom. The value obtained for the size of the total moment is 0.000 μB per cell. As for the crystal system: orthorhombic.

***

11.
Pr2Mn2InPt5: relaxed, GGA-PBE.

a b c (Å): 9.7190 9.7190 4.0081
angles (deg): 90.00 90.00 90.00
Closest atoms and distances in Å follow each position.
Positions (direct):
Pr (0.1797, 0.3203, 0.0000)  3 Mn 2.77-2.96
Pr (0.3203, 0.8203, 0.0000)  3 Mn 2.77-2.96
Pr (0.6797, 0.1797, 0.0000)  3 Mn 2.77-2.96
Pr (0.8203, 0.6797, 0.0000)  3 Mn 2.77-2.96
Mn (0.1185, 0.6185, 0.0000)  6 Pt 2.58-2.64, 1 Pr 2.77
Mn (0.3815, 0.1185, 0.0000)  6 Pt 2.58-2.64, 1 Pr 2.77
Mn (0.6185, 0.8815, 0.0000)  6 Pt 2.58-2.64, 1 Pr 2.77
Mn (0.8815, 0.3815, 0.0000)  6 Pt 2.58-2.64, 1 Pr 2.77
In (0.0000, 0.0000, 0.0000)  8 Pt 2.95
In (0.5000, 0.5000, 0.0000)  8 Pt 2.95
Pt (0.0000, 0.5000, 0.5000)  4 Mn 2.58, 4 Pt 2.86
Pt (0.0638, 0.7870, 0.5000)  2 Mn 2.64, 1 Pt 2.86, 2 In 2.95
Pt (0.2130, 0.0638, 0.5000)  2 Mn 2.64, 1 Pt 2.86, 2 In 2.95
Pt (0.2870, 0.5638, 0.5000)  2 Mn 2.64, 1 Pt 2.86, 2 In 2.95
Pt (0.4362, 0.2870, 0.5000)  2 Mn 2.64, 1 Pt 2.86, 2 In 2.95
Pt (0.5000, 0.0000, 0.5000)  4 Mn 2.58, 4 Pt 2.86
Pt (0.5638, 0.7130, 0.5000)  2 Mn 2.64, 1 Pt 2.86, 2 In 2.95
Pt (0.7130, 0.4362, 0.5000)  2 Mn 2.64, 1 Pt 2.86, 2 In 2.95
Pt (0.7870, 0.9362, 0.5000)  2 Mn 2.64, 1 Pt 2.86, 2 In 2.95
Pt (0.9362, 0.2130, 0.5000)  2 Mn 2.64, 1 Pt 2.86, 2 In 2.95

Summary:
The value obtained for the density of states at the Fermi level is 0.58 states/eV/atom. The formation energy is -0.649 eV/atom. The electronic total energy is -6.73 eV per atom. The value obtained for the size of the total moment is 14.930 μB per cell. As for the crystal system: tetragonal.

***

- electronic total energy of number 1 (NaTiAl)?
  -4.36 eV per atom

***

- Which value of electronic total energy does entry 4 give?
  -3.26 eV per atom

***

- size of the total moment of number 11 (Pr2Mn2InPt5)?
  14.930 μB per cell

***

- What is the electronic total energy in the first record?
  -4.36 eV per atom